Entry 1:
RbNdPbI6: optimized geometry, PBE.

Symmetry ... No. 163
Formation energy (no corrections) ... -1.19 eV/atom

a = 8.2586 Å, b = 8.2586 Å, c = 16.1147 Å
α = 90.00°, β = 90.00°, γ = 120.00°
Last column: nearest neighbours and their distance in Å.
Sites, in units of the cell vectors:
I 0.0104 0.6341 0.8644  1 Nd 3.14, 1 Pb 3.25
I 0.6341 0.0104 0.3644  1 Nd 3.14, 1 Pb 3.25
I 0.3762 0.3659 0.3644  1 Nd 3.14, 1 Pb 3.25
I 0.9896 0.6238 0.3644  1 Nd 3.14, 1 Pb 3.25
I 0.6341 0.6238 0.1356  1 Nd 3.14, 1 Pb 3.25
I 0.6238 0.9896 0.8644  1 Nd 3.14, 1 Pb 3.25
I 0.3659 0.9896 0.6356  1 Nd 3.14, 1 Pb 3.25
I 0.3659 0.3762 0.8644  1 Nd 3.14, 1 Pb 3.25
I 0.9896 0.3659 0.1356  1 Nd 3.14, 1 Pb 3.25
I 0.0104 0.3762 0.6356  1 Nd 3.14, 1 Pb 3.25
I 0.3762 0.0104 0.1356  1 Nd 3.14, 1 Pb 3.25
I 0.6238 0.6341 0.6356  1 Nd 3.14, 1 Pb 3.25
Pb 0.6667 0.3333 0.7500  6 I 3.25
Pb 0.3333 0.6667 0.2500  6 I 3.25
Nd 0.3333 0.6667 0.7500  6 I 3.14
Nd 0.6667 0.3333 0.2500  6 I 3.14
Rb 0.0000 0.0000 0.5000  6 I 3.76
Rb 0.0000 0.0000 0.0000  6 I 3.76

Entry 2:
LaScSiRh2: optimized geometry, PBE.

Symmetry ... No. 123
Formation energy (no corrections) ... 0.62 eV/atom

a = 4.6139 Å, b = 5.7098 Å, c = 4.6139 Å
α = 90.00°, β = 90.00°, γ = 90.00°
Last column: nearest neighbours and their distance in Å.
Sites, in units of the cell vectors:
Si 0.5000 0.5000 0.5000  4 La 3.26
Rh 0.5000 0.0000 0.0000  2 Sc 2.31
Rh 0.0000 0.0000 0.5000  2 Sc 2.31
Sc 0.0000 0.0000 0.0000  4 Rh 2.31
La 0.0000 0.5000 0.0000  2 Sc 2.85

Entry 3:
Ho3Lu5H12: optimized geometry, PBE.

Symmetry ... No. 230
E_tot ... -85.83 eV/f.u.

a = 11.0544 Å, b = 11.0544 Å, c = 11.0544 Å
α = 109.47°, β = 109.47°, γ = 109.47°
Last column: nearest neighbours and their distance in Å.
Sites, in units of the cell vectors:
H 0.2790 0.8478 0.9373  2 Lu 2.14-2.15, 2 Ho 2.20-2.38, 1 H 2.33
H 0.0688 0.9105 0.3478  2 Lu 2.14-2.15, 2 Ho 2.20-2.38, 1 H 2.33
H 0.7210 0.5688 0.1583  2 Lu 2.14-2.15, 2 Ho 2.20-2.38, 1 H 2.33
H 0.0688 0.1583 0.2210  2 Lu 2.14-2.15, 2 Ho 2.20-2.38, 1 H 2.33
H 0.4312 0.2790 0.3417  2 Lu 2.14-2.15, 2 Ho 2.20-2.38, 1 H 2.33
H 0.6583 0.4373 0.5895  2 Lu 2.14-2.15, 2 Ho 2.20-2.38, 1 H 2.33
H 0.1583 0.0688 0.7210  2 Lu 2.14-2.15, 2 Ho 2.20-2.38, 1 H 2.33
H 0.7790 0.3417 0.9312  2 Lu 2.14-2.15, 2 Ho 2.20-2.38, 1 H 2.33
H 0.1522 0.7210 0.5627  2 Lu 2.14-2.15, 2 Ho 2.20-2.38, 1 H 2.33
H 0.9105 0.0688 0.8478  2 Lu 2.14-2.15, 2 Ho 2.20-2.38, 1 H 2.33
H 0.9373 0.3478 0.2790  2 Lu 2.14-2.15, 2 Ho 2.20-2.38, 1 H 2.33
H 0.9105 0.8417 0.5627  2 Lu 2.14-2.15, 2 Ho 2.20-2.38, 1 H 2.33
H 0.2210 0.5627 0.6522  2 Lu 2.14-2.15, 2 Ho 2.20-2.38, 1 H 2.33
H 0.9373 0.5895 0.1583  2 Lu 2.14-2.15, 2 Ho 2.20-2.38, 1 H 2.33
H 0.8478 0.5688 0.9105  2 Lu 2.14-2.15, 2 Ho 2.20-2.38, 1 H 2.33
H 0.5627 0.2210 0.1522  2 Lu 2.14-2.15, 2 Ho 2.20-2.38, 1 H 2.33
H 0.0627 0.4105 0.8417  2 Lu 2.14-2.15, 2 Ho 2.20-2.38, 1 H 2.33
H 0.3417 0.5627 0.4105  2 Lu 2.14-2.15, 2 Ho 2.20-2.38, 1 H 2.33
H 0.8417 0.9105 0.0627  2 Lu 2.14-2.15, 2 Ho 2.20-2.38, 1 H 2.33
H 0.8478 0.2790 0.4373  2 Lu 2.14-2.15, 2 Ho 2.20-2.38, 1 H 2.33
H 0.0895 0.1583 0.4373  2 Lu 2.14-2.15, 2 Ho 2.20-2.38, 1 H 2.33
H 0.3417 0.7790 0.4312  2 Lu 2.14-2.15, 2 Ho 2.20-2.38, 1 H 2.33
H 0.0627 0.6522 0.7210  2 Lu 2.14-2.15, 2 Ho 2.20-2.38, 1 H 2.33
H 0.4105 0.0627 0.3417  2 Lu 2.14-2.15, 2 Ho 2.20-2.38, 1 H 2.33
H 0.1583 0.0895 0.9373  2 Lu 2.14-2.15, 2 Ho 2.20-2.38, 1 H 2.33
H 0.1522 0.4312 0.0895  2 Lu 2.14-2.15, 2 Ho 2.20-2.38, 1 H 2.33
H 0.5895 0.6522 0.4312  2 Lu 2.14-2.15, 2 Ho 2.20-2.38, 1 H 2.33
H 0.5627 0.3417 0.9105  2 Lu 2.14-2.15, 2 Ho 2.20-2.38, 1 H 2.33
H 0.3478 0.9373 0.7790  2 Lu 2.14-2.15, 2 Ho 2.20-2.38, 1 H 2.33
H 0.6522 0.0627 0.2210  2 Lu 2.14-2.15, 2 Ho 2.20-2.38, 1 H 2.33
H 0.7790 0.4373 0.3478  2 Lu 2.14-2.15, 2 Ho 2.20-2.38, 1 H 2.33
H 0.5895 0.9373 0.6583  2 Lu 2.14-2.15, 2 Ho 2.20-2.38, 1 H 2.33
H 0.4105 0.3478 0.5688  2 Lu 2.14-2.15, 2 Ho 2.20-2.38, 1 H 2.33
H 0.5688 0.8478 0.4105  2 Lu 2.14-2.15, 2 Ho 2.20-2.38, 1 H 2.33
H 0.5688 0.7210 0.6583  2 Lu 2.14-2.15, 2 Ho 2.20-2.38, 1 H 2.33
H 0.4373 0.6583 0.0895  2 Lu 2.14-2.15, 2 Ho 2.20-2.38, 1 H 2.33
H 0.6583 0.2210 0.5688  2 Lu 2.14-2.15, 2 Ho 2.20-2.38, 1 H 2.33
H 0.4312 0.1522 0.5895  2 Lu 2.14-2.15, 2 Ho 2.20-2.38, 1 H 2.33
H 0.2790 0.4312 0.8417  2 Lu 2.14-2.15, 2 Ho 2.20-2.38, 1 H 2.33
H 0.3478 0.4105 0.0688  2 Lu 2.14-2.15, 2 Ho 2.20-2.38, 1 H 2.33
H 0.2210 0.6583 0.0688  2 Lu 2.14-2.15, 2 Ho 2.20-2.38, 1 H 2.33
H 0.6522 0.5895 0.9312  2 Lu 2.14-2.15, 2 Ho 2.20-2.38, 1 H 2.33
H 0.4373 0.7790 0.8478  2 Lu 2.14-2.15, 2 Ho 2.20-2.38, 1 H 2.33
H 0.0895 0.9312 0.1522  2 Lu 2.14-2.15, 2 Ho 2.20-2.38, 1 H 2.33
H 0.9312 0.0895 0.6522  2 Lu 2.14-2.15, 2 Ho 2.20-2.38, 1 H 2.33
H 0.8417 0.9312 0.2790  2 Lu 2.14-2.15, 2 Ho 2.20-2.38, 1 H 2.33
H 0.9312 0.8417 0.7790  2 Lu 2.14-2.15, 2 Ho 2.20-2.38, 1 H 2.33
H 0.7210 0.1522 0.0627  2 Lu 2.14-2.15, 2 Ho 2.20-2.38, 1 H 2.33
Lu 0.1250 0.7500 0.3750  4 H 2.14
Lu 0.6250 0.7500 0.8750  4 H 2.14
Lu 0.5000 0.5000 0.5000  6 H 2.15
Lu 0.2500 0.8750 0.1250  4 H 2.14
Lu 0.6250 0.8750 0.2500  4 H 2.14
Lu 0.1250 0.3750 0.2500  4 H 2.14
Lu 0.0000 0.5000 0.5000  6 H 2.15
Lu 0.5000 0.5000 0.0000  6 H 2.15
Lu 0.5000 0.0000 0.5000  6 H 2.15
Lu 0.0000 0.0000 0.0000  6 H 2.15
Lu 0.7500 0.6250 0.3750  4 H 2.14
Lu 0.8750 0.2500 0.6250  4 H 2.14
Lu 0.3750 0.1250 0.7500  4 H 2.14
Lu 0.8750 0.6250 0.7500  4 H 2.14
Lu 0.0000 0.5000 0.0000  6 H 2.15
Lu 0.7500 0.1250 0.8750  4 H 2.14
Lu 0.3750 0.2500 0.1250  4 H 2.14
Lu 0.5000 0.0000 0.0000  6 H 2.15
Lu 0.0000 0.0000 0.5000  6 H 2.15
Lu 0.2500 0.3750 0.6250  4 H 2.14
Ho 0.6250 0.3750 0.7500  8 H 2.20-2.38
Ho 0.2500 0.1250 0.3750  8 H 2.20-2.38
Ho 0.3750 0.6250 0.2500  8 H 2.20-2.38
Ho 0.6250 0.2500 0.3750  8 H 2.20-2.38
Ho 0.8750 0.7500 0.1250  8 H 2.20-2.38
Ho 0.3750 0.7500 0.6250  8 H 2.20-2.38
Ho 0.7500 0.8750 0.6250  8 H 2.20-2.38
Ho 0.8750 0.1250 0.2500  8 H 2.20-2.38
Ho 0.2500 0.6250 0.8750  8 H 2.20-2.38
Ho 0.1250 0.2500 0.8750  8 H 2.20-2.38
Ho 0.7500 0.3750 0.1250  8 H 2.20-2.38
Ho 0.1250 0.8750 0.7500  8 H 2.20-2.38

Entry 4:
PmMgSb2: optimized geometry, PBE.

Symmetry ... No. 225
Formation energy (no corrections) ... -0.47 eV/atom

a = 5.3581 Å, b = 5.3581 Å, c = 5.3581 Å
α = 60.00°, β = 60.00°, γ = 60.00°
Last column: nearest neighbours and their distance in Å.
Sites, in units of the cell vectors:
Sb 0.7500 0.7500 0.7500  4 Mg 3.28, 4 Pm 3.28
Sb 0.2500 0.2500 0.2500  4 Mg 3.28, 4 Pm 3.28
Pm 0.5000 0.5000 0.5000  8 Sb 3.28
Mg 0.0000 0.0000 0.0000  8 Sb 3.28

Entry 5:
PuCuAg: optimized geometry, PBE.

Symmetry ... No. 107
DFT formation energy ... 0.09 eV/atom

a = 3.1907 Å, b = 3.1907 Å, c = 6.1625 Å
α = 105.00°, β = 105.00°, γ = 90.00°
Last column: nearest neighbours and their distance in Å.
Sites, in units of the cell vectors:
Ag 0.0247 0.0247 0.0494  4 Cu 2.68
Pu 0.3237 0.3237 0.6474  4 Cu 3.00, 4 Pu 3.19, 4 Ag 3.23
Cu 0.6516 0.6516 0.3032  4 Ag 2.68, 4 Pu 3.00

Entry 6:
CoMoN: optimized geometry, PBE.

Symmetry ... No. 156
Formation energy (no corrections) ... 0.12 eV/atom

a = 4.1276 Å, b = 3.0403 Å, c = 3.0403 Å
α = 120.00°, β = 90.00°, γ = 90.00°
Last column: nearest neighbours and their distance in Å.
Sites, in units of the cell vectors:
N 0.2967 0.6667 0.3333  3 Co 1.91, 3 Mo 2.13
Co 0.1157 0.0000 0.0000  3 N 1.91
Mo 0.5875 0.3333 0.6667  3 N 2.13